An optimized crystal structure of ErAlCo2H6, computed with PBE-GGA.

Space-group type ... No. 166
Total DFT energy (no corrections) ... -4.606 eV/atom

Lattice parameters (Å, degrees): 4.166 4.166 5.665 68.42 68.42 60.00
Fractional positions:
Er1 0.000 0.000 0.000
Al1 0.500 0.500 0.500
Co1 0.790 0.790 0.631
Co2 0.210 0.210 0.369
H1 0.065 0.562 0.811
H2 0.562 0.065 0.811
H3 0.438 0.438 0.189
H4 0.935 0.438 0.189
H5 0.438 0.935 0.189
H6 0.562 0.562 0.811